# 1
ZrCrAgS4 (GGA-PBEsol, relaxed); M_tot = 12.0 Bohr magnetons per cell; energy relative to the elements, uncorrected = -876 meV/atom; distance to the lowest polymorph of the same formula = 0.058 eV per atom; symmetry = No. 59
1.0
6.025 0.000 0.000
0.000 7.066 0.000
0.000 0.000 12.807
Cr S Ag Zr
4 16 4 4
direct
0.002 0.500 0.749
0.002 0.500 0.251
0.998 0.000 0.751
0.998 0.000 0.249
0.853 0.745 0.641
0.853 0.255 0.359
0.679 0.500 0.862
0.319 0.500 0.637
0.321 0.000 0.362
0.147 0.755 0.859
0.321 0.000 0.638
0.147 0.755 0.141
0.853 0.255 0.641
0.679 0.500 0.138
0.681 0.000 0.863
0.681 0.000 0.137
0.853 0.745 0.359
0.147 0.245 0.141
0.319 0.500 0.363
0.147 0.245 0.859
0.997 0.500 0.000
0.662 0.500 0.500
0.003 0.000 0.500
0.338 0.000 0.000
0.500 0.750 0.250
0.500 0.250 0.750
0.500 0.250 0.250
0.500 0.750 0.750

---

# 2
SrTeS2N (GGA-PBEsol, relaxed); M_tot = 0.0 Bohr magnetons per cell; energy relative to the elements, uncorrected = -257 meV/atom; symmetry = No. 123
1.0
-1.210 0.096 -3.832
-4.026 -2.937 1.197
-2.772 4.198 0.980
N Te Sr S
1 1 1 2
direct
0.500 0.000 0.000
0.000 0.000 0.000
0.500 0.500 0.500
0.000 0.000 0.500
0.000 0.500 0.000